No. 1
Computed, not measured: BaGeN2 after structural relaxation at the PBE level of DFT.

```
64
Lattice="5.594 0.000 0.000 0.000 11.221 0.000 0.000 0.000 16.658" Properties=species:S:1:pos:R:3 pbc="T T T"
N 3.155 0.284 13.014
N 0.975 7.500 5.707
N 4.619 3.721 10.951
N 4.599 6.588 9.938
N 3.155 5.326 4.685
N 3.470 2.338 16.242
N 1.802 6.588 15.049
N 1.802 10.244 6.720
N 0.359 0.284 11.973
N 4.921 8.883 7.913
N 4.619 1.889 2.622
N 4.921 7.949 16.242
N 0.359 5.326 3.644
N 0.995 0.977 15.049
N 5.235 5.895 13.014
N 0.975 9.332 14.036
N 4.599 10.244 1.609
N 2.438 5.895 11.973
N 0.673 2.338 8.745
N 1.822 3.721 14.036
N 2.124 8.883 0.416
N 3.792 4.633 1.609
N 3.772 9.332 10.951
N 2.124 7.949 8.745
N 0.673 3.273 0.416
N 3.772 7.500 2.622
N 5.235 10.937 4.685
N 1.822 1.889 5.707
N 3.470 3.273 7.913
N 0.995 4.633 6.720
N 2.438 10.937 3.644
N 3.792 0.977 9.938
Ba 4.167 10.998 15.557
Ba 0.912 8.222 11.425
Ba 1.427 0.223 1.101
Ba 4.224 5.387 15.557
Ba 1.884 3.000 3.096
Ba 1.884 2.611 11.425
Ba 4.681 3.000 5.233
Ba 1.427 5.387 9.429
Ba 0.912 8.610 3.096
Ba 1.370 5.834 1.101
Ba 4.681 2.611 13.562
Ba 1.370 10.998 9.429
Ba 4.167 5.834 7.228
Ba 3.709 8.222 13.562
Ba 4.224 0.223 7.228
Ba 3.709 8.610 5.233
Ge 4.224 0.104 3.131
Ge 1.085 8.276 15.613
Ge 1.370 5.715 5.198
Ge 4.509 2.945 1.045
Ge 4.167 11.117 11.460
Ge 3.882 8.276 9.374
Ge 4.509 2.665 9.374
Ge 4.167 5.715 3.131
Ge 3.882 8.556 1.045
Ge 1.085 8.556 7.284
Ge 1.427 5.507 13.527
Ge 1.712 2.665 15.613
Ge 1.712 2.945 7.284
Ge 1.370 11.117 13.527
Ge 4.224 5.507 11.460
Ge 1.427 0.104 5.198
```

The value obtained for the density is 6.05 g/cm³. As for the crystal system: orthorhombic. For the total magnetization, the calculation gives 0.00 μB/atom.

No. 2
Computed, not measured: Ba5GeN after structural relaxation at the PBE level of DFT.

```
14
Lattice="8.166 0.267 -0.057 2.843 7.659 -0.057 3.881 2.794 10.087" Properties=species:S:1:pos:R:3 pbc="T T T"
Ba 4.254 2.502 3.768
Ba 5.826 6.484 4.773
Ba 9.938 4.865 9.816
Ba 4.952 5.855 0.157
Ba 5.663 4.637 8.811
Ba 9.227 6.083 1.162
Ba 8.806 1.423 2.465
Ba 6.084 9.297 7.508
Ba 10.637 8.218 6.205
Ba 9.064 4.236 5.200
N 1.941 1.397 5.043
N 0.000 0.000 0.000
Ge 6.891 4.084 2.465
Ge 8.000 6.636 7.508
```

The value obtained for the density is 4.10 g/cm³. As for the crystal system: monoclinic. For the total magnetization, the calculation gives 0.08 μB/atom.

The evaluated VASP energy for the records listed, in turn: -398.3; -48.9 eV per cell.